Entry 1:
8
Lattice="5.1864 0.0000 0.0000 0.0000 4.9977 1.2814 0.0001 2.4357 11.3109" Properties=species:S:1:pos:R:3 comment="AcPm4SmHo2 PBE relaxed" sg="No. 10" energy_ev_per_atom=-4.592 ef_mev_per_atom=31 pbc="T T T"
Pm 2.5932 3.0964 8.7301
Ac 2.5932 2.4989 0.6407
Ho 0.0001 2.4357 11.3108
Sm 0.0000 3.7167 6.2961
Ho 2.5932 1.2178 5.6554
Pm 2.5932 4.3371 3.8621
Pm 5.1864 1.8426 3.2114
Pm 0.0001 5.5908 9.3808


Entry 2:
16
Lattice="9.4846 -0.0229 -1.7427 -0.0295 9.4846 -1.7427 -6.0141 -6.0183 8.4108" Properties=species:S:1:pos:R:3 comment="AcPm2SmHo4 PBE relaxed" sg="No. 74" energy_ev_per_atom=-4.150 ef_mev_per_atom=430 pbc="T T T"
Ac -0.0148 4.7423 -0.8713
Ho 2.3852 7.1604 -1.6800
Ho 2.4355 2.2801 -0.8684
Ho 4.0463 -0.6913 2.3999
Ho 1.0559 -3.7170 6.6053
Ho -0.6054 4.1346 2.5254
Ac 6.4628 1.7103 1.5912
Pm -3.0071 -3.0091 4.2054
Pm 4.7423 -0.0114 -0.8714
Ho -0.5578 -0.7154 3.3311
Pm 1.7353 -3.0206 3.3340
Sm 1.7204 1.7217 2.4627
Ho 1.0054 1.1633 5.7938
Pm 4.7276 4.7308 -1.7427
Sm 3.4705 -6.0412 6.6680
Ho 3.9987 4.1588 1.5943


Entry 3:
20
Lattice="9.2960 -2.0725 -2.1508 0.9653 8.7855 -2.1146 0.9653 -2.4388 8.7011" Properties=species:S:1:pos:R:3 comment="AcPm6Sm2Ho PBE relaxed" sg="No. 15" energy_ev_per_atom=-4.544 ef_mev_per_atom=119 pbc="T T T"
Pm 5.2143 -0.8527 6.0871
Sm 5.5762 -0.1341 1.1437
Ho 7.9373 2.6143 0.7211
Pm 6.9424 -2.6670 3.3808
Pm 6.9022 1.3497 3.8069
Pm 4.2842 6.9413 1.0549
Pm 8.9322 -0.2393 5.9002
Sm 0.9282 2.1841 0.9838
Pm 8.9725 -0.5163 1.8704
Pm 1.3643 -0.8040 6.1376
Pm 6.0123 5.1269 -1.6514
Ho 3.2893 1.6600 3.7146
Ac 3.2893 7.9929 -2.3878
Pm 2.2542 4.7906 2.5653
Ac 7.9373 -3.7186 6.8235
Sm 10.2985 2.0901 3.4519
Pm 4.3244 2.9245 0.6288
Sm 5.6505 4.4083 3.2920
Pm 2.2944 4.5135 -1.4645
Pm 9.8623 5.0783 -1.7019


Entry 4:
10
Lattice="6.8062 0.0000 0.0000 0.0000 8.7410 1.5907 0.0000 -1.1567 6.3559" Properties=species:S:1:pos:R:3 comment="Ac2PmSmHo PBE relaxed" sg="No. 51" energy_ev_per_atom=-4.195 ef_mev_per_atom=258 pbc="T T T"
Ac 1.9792 5.8778 2.7112
Ho 0.0000 -0.5783 3.1780
Pm 2.8182 -0.8675 4.7670
Ac 4.8270 1.7065 5.2354
Pm 3.9880 -0.2892 1.5890
Ho 0.0000 0.0000 0.0000
Ac 1.9792 2.2848 2.0575
Ac 4.8270 5.2995 5.8892
Sm 1.2278 3.5030 5.5623
Sm 5.5784 4.0813 2.3843


Entry 5:
12
Lattice="5.2027 0.0000 0.0000 0.0000 8.1461 -1.2033 0.0000 -3.4287 10.4542" Properties=species:S:1:pos:R:3 comment="AcPmSm3Ho PBE relaxed" sg="No. 11" energy_ev_per_atom=-4.560 ef_mev_per_atom=39 pbc="T T T"
Ho 3.9021 5.8184 2.8564
Sm 1.3007 -2.2234 9.8791
Ho 1.3007 -1.1010 6.3945
Pm 3.9021 0.0861 8.6938
Pm 1.3007 4.6313 0.5571
Ac 1.3007 0.0117 2.9126
Sm 1.3007 2.3335 7.5365
Sm 3.9021 1.1753 5.2618
Sm 3.9021 6.9408 -0.6282
Sm 1.3007 3.5420 3.9891
Sm 3.9021 2.3838 1.7143
Ac 3.9021 4.7057 6.3382


Entry 6:
10
Lattice="-6.9447 -0.9279 -2.2387 -2.5016 -0.5489 7.9879 0.3954 6.3204 -3.8464" Properties=species:S:1:pos:R:3 comment="AcPm2SmHo PBE relaxed" sg="No. 63" energy_ev_per_atom=-4.235 ef_mev_per_atom=347 pbc="T T T"
Ho -6.7915 1.3768 2.3722
Pm -4.2353 -0.6314 1.3168
Sm -1.8298 0.4294 -0.5435
Pm -1.7387 -0.3815 5.5518
Ac -3.4267 2.6011 3.5101
Pm -5.2111 -0.8455 4.4324
Ho -2.2595 3.4667 -0.4694
Sm -7.2212 4.4142 2.4464
Ac -5.6243 2.2425 -1.6073
Pm -0.7629 -0.1674 2.4361


Entry 7:
12
Lattice="6.3213 0.0006 0.0152 -3.1586 5.4755 0.0152 -1.0866 -1.8814 11.9343" Properties=species:S:1:pos:R:3 comment="AcPm6Sm3Ho2 PBE relaxed" sg="No. 12" energy_ev_per_atom=-4.635 ef_mev_per_atom=25 pbc="T T T"
Sm -2.1166 3.6193 5.9824
Ho 3.1596 1.8265 0.0152
Sm 1.0380 1.7974 5.9824
Ac 0.0000 0.0000 0.0000
Pm -0.0436 3.6087 8.9515
Pm 2.1197 -0.0140 3.0132
Pm -1.0714 1.8290 3.0132
Pm 2.0905 3.6197 3.0320
Sm 4.1927 -0.0245 5.9824
Ho 0.0030 3.6496 0.0152
Pm 3.1475 1.7657 8.9515
Pm -0.0144 -0.0249 8.9327


Entry 8:
7
Lattice="-0.5444 -1.4976 4.9276 -4.0552 -2.7657 -4.0100 6.1766 -5.2733 -0.9203" Properties=species:S:1:pos:R:3 comment="AcPm2Sm2Ho2 PBE relaxed" sg="No. 12" energy_ev_per_atom=-4.564 ef_mev_per_atom=36 pbc="T T T"
Pm 2.7745 -6.4823 -1.6636
Ho 0.1314 -6.2451 0.8380
Pm -1.1976 -3.0543 1.6609
Sm -1.8817 -4.5358 -1.5864
Ac 0.0000 0.0000 0.0000
Sm 3.4586 -5.0008 1.5837
Ho 1.4456 -3.2914 -0.8406


Entry 9:
12
Lattice="6.3092 0.0013 0.0143 -3.1519 5.4655 0.0143 -1.0798 -1.8697 11.9233" Properties=species:S:1:pos:R:3 comment="AcPm3Sm6Ho2 PBE relaxed" sg="No. 12" energy_ev_per_atom=-4.627 ef_mev_per_atom=25 pbc="T T T"
Ho 0.0030 3.6434 0.0143
Sm -0.0112 -0.0194 8.9313
Ac 0.0000 0.0000 0.0000
Sm 2.1167 -0.0107 3.0041
Sm -0.0392 3.6078 8.9478
Pm -2.1099 3.6170 5.9759
Pm 1.0387 1.7986 5.9759
Ho 3.1543 1.8234 0.0143
Pm 4.1874 -0.0199 5.9759
Sm -1.0671 1.8281 3.0041
Sm 2.0887 3.6165 3.0206
Sm 3.1446 1.7691 8.9478


Entry 10:
18
Lattice="-4.9413 -7.4168 0.9700 3.0339 -0.9247 8.3849 -5.0548 8.5208 -2.0237" Properties=species:S:1:pos:R:3 comment="AcPm2Sm5Ho PBE relaxed" sg="No. 140" energy_ev_per_atom=-4.382 ef_mev_per_atom=260 pbc="T T T"
Sm 0.0000 0.0000 0.0000
Pm -2.6928 -4.6799 1.5745
Pm 0.7854 -3.6616 7.7803
Ac -3.0042 2.1750 1.3269
Sm -2.6678 -4.8080 8.0551
Sm -4.6298 -5.0136 3.9500
Ho -1.4873 1.7127 5.5193
Sm -2.4324 -1.2219 2.7099
Sm -0.9537 -4.1707 4.6774
Sm -4.5298 1.4012 4.6212
Sm -6.4917 1.1956 0.5162
Ac -3.9579 -1.9957 6.0043
Pm -2.4955 -7.1230 6.0260
Sm -4.2943 4.9873 -0.7239
Pm 0.5881 -1.2184 3.3289
Sm -2.3324 5.1929 3.3812
Ho -5.4749 -1.5334 1.8119
Sm -0.4704 -1.0163 6.8150


Entry 11:
18
Lattice="-3.6028 -4.1517 -0.9986 1.9481 -0.8711 12.2223 -7.2377 5.9021 1.5743" Properties=species:S:1:pos:R:3 comment="AcPmSm5Ho2 PBE relaxed" sg="No. 36" energy_ev_per_atom=-4.476 ef_mev_per_atom=147 pbc="T T T"
Sm -0.1099 -2.1511 9.3402
Ho -2.0412 1.0299 3.0823
Pm -5.6044 -0.4584 6.4968
Ac -2.9725 0.1744 9.9998
Ho -2.9617 -2.9871 7.4756
Ac -8.4795 2.7923 3.3550
Sm -2.5377 0.6076 6.6296
Sm -5.6160 0.4483 2.7691
Sm -7.9629 1.5831 6.5182
Sm -3.8356 3.0824 1.0231
Sm -1.8762 -4.7968 11.0831
Ho -4.8252 2.9649 5.0820
Ho -7.3806 0.2810 9.8309
Sm -5.3007 1.6339 12.3314
Sm -3.3856 -1.8562 4.3028
Sm -3.6156 -0.7351 0.4718
Pm -0.1915 -1.1875 5.6277
Sm -5.1675 2.4588 8.4214


Entry 12:
4
Lattice="-1.5930 3.0480 4.4110 -5.4320 0.5110 1.2314 -2.0890 -2.5219 4.5344" Properties=species:S:1:pos:R:3 comment="AcPmHoSn PBE relaxed" sg="No. 216" energy_ev_per_atom=-4.540 ef_mev_per_atom=-180 pbc="T T T"
Pm -4.5570 0.5186 5.0884
Ho 0.0000 0.0000 0.0000
Ac -2.2785 0.2593 2.5442
Sn -6.8355 0.7779 7.6325